Compound: K2Li4S
Source: Alexandria via LeMat-Bulk
Functional: PBE
Structure: relaxed

Computed properties:
Its uncorrected formation energy is -0.370 eV per atom. The calculation puts the size of the total moment at 0.11 μB per formula unit. The calculation puts the density of states at the Fermi level at 3.19 states/eV/f.u. As for the calculated density: 0.9 g/cm³. For the final energy, the calculation gives -2.3672 eV per atom.

Cell lengths 4.7816, 4.7816, 11.3296 Å; angles 77.82, 77.82, 90.00 degrees
Atoms (fractional coordinates):
K (0.3135, 0.3135, 0.3729)
Li (0.0000, 0.5000, 0.0000)
Li (0.5000, 0.0000, 0.0000)
S (0.0000, 0.0000, 0.0000)
K (0.6865, 0.6865, 0.6271)
Li (0.8929, 0.8929, 0.2143)
Li (0.1071, 0.1071, 0.7857)